! NdSm2Zn4Si4 PBE optimized geometry; values from VASP
! Final energy = -4.287 eV per atom
! Space-group type = No. 71
&SYSTEM
  ibrav = 0, nat = 11, ntyp = 4
/
ATOMIC_SPECIES
Nd 144.24 Nd.upf
Si 28.09 Si.upf
Sm 150.36 Sm.upf
Zn 65.41 Zn.upf
CELL_PARAMETERS angstrom
-1.2012 -12.6577 -0.3251
-6.3582 -10.7617 -2.3505
4.8546 11.6738 -1.3854
ATOMIC_POSITIONS angstrom
Nd 0.0000 0.0000 0.0000
Si -3.4195 -10.5937 -1.2103
Si -4.1399 -12.8256 -1.4653
Si -0.5144 -7.7449 -1.6839
Si -2.1903 -4.0006 -2.3772
Sm 0.7349 -3.8745 -1.2417
Sm -3.4396 -7.8710 -2.8194
Zn -1.8899 -5.8550 -0.6689
Zn -5.6695 -17.5643 -2.0067
Zn -1.2395 -9.9911 -1.9406
Zn -1.4653 -1.7544 -2.1205